[1]
{"formula": "UPaS2N", "functional": "PBE", "state": "optimized geometry", "lattice_angstrom": [[3.815, 0.000, 0.000], [0.000, 3.815, 0.000], [0.000, 0.000, 13.128]], "species": ["U", "U", "Pa", "Pa", "S", "S", "S", "S", "N", "N"], "frac_coords": [[0.250, 0.250, 0.097], [0.750, 0.750, 0.903], [0.250, 0.250, 0.595], [0.750, 0.750, 0.405], [0.250, 0.250, 0.307], [0.250, 0.250, 0.883], [0.750, 0.750, 0.117], [0.750, 0.750, 0.693], [0.250, 0.750, 0.500], [0.750, 0.250, 0.500]], "e_form_raw_ev_per_atom": -1.6329, "magnetic_moment_mub_per_fu": 2.49, "spacegroup": "P4/nmm", "dos_ef_per_ev_atom": 1.109, "final_energy_ev_per_cell": -91.1}

***

[2]
{"formula": "RbHfTc2F", "functional": "PBE", "state": "optimized geometry", "lattice_angstrom": [[4.749, 0.000, 0.000], [0.000, 4.749, 0.000], [0.000, 0.000, 8.985]], "species": ["Rb", "Hf", "Tc", "Tc", "F"], "frac_coords": [[0.000, 0.000, 0.000], [0.000, 0.000, 0.500], [0.000, 0.500, 0.500], [0.500, 0.000, 0.500], [0.500, 0.500, 0.000]], "e_form_raw_ev_per_atom": 1.0096, "magnetic_moment_mub_per_fu": 3.64, "spacegroup": "P4/mmm", "dos_ef_per_ev_atom": 0.843, "final_energy_ev_per_cell": -28.5}

***

[3]
{"formula": "CdTcP2", "functional": "PBE", "state": "optimized geometry", "lattice_angstrom": [[1.558, 0.900, 8.074], [-1.558, 0.900, 8.074], [0.000, -1.799, 8.074]], "species": ["Cd", "Tc", "P", "P"], "frac_coords": [[0.000, 0.000, 0.000], [0.500, 0.500, 0.500], [0.234, 0.234, 0.234], [0.766, 0.766, 0.766]], "magnetic_moment_mub_per_fu": 0.00, "spacegroup": "R-3m", "dos_ef_per_ev_atom": 0.497, "formation_enthalpy_0k_ev_per_atom": -0.08, "final_energy_ev_per_cell": -22.4}

***

[4]
{"formula": "AcHo4Te6", "functional": "PBE", "state": "optimized geometry", "lattice_angstrom": [[2.188, -7.125, 0.000], [2.188, 7.125, 0.000], [0.000, 0.000, 22.332]], "species": ["Ac", "Ac", "Ho", "Ho", "Ho", "Ho", "Ho", "Ho", "Ho", "Ho", "Te", "Te", "Te", "Te", "Te", "Te", "Te", "Te", "Te", "Te", "Te", "Te"], "frac_coords": [[0.155, 0.845, 0.750], [0.845, 0.155, 0.250], [0.094, 0.906, 0.122], [0.094, 0.906, 0.378], [0.355, 0.645, 0.034], [0.355, 0.645, 0.466], [0.645, 0.355, 0.534], [0.645, 0.355, 0.966], [0.906, 0.094, 0.622], [0.906, 0.094, 0.878], [0.000, 0.000, 0.000], [0.000, 0.000, 0.500], [0.171, 0.829, 0.250], [0.263, 0.737, 0.593], [0.263, 0.737, 0.907], [0.454, 0.546, 0.159], [0.454, 0.546, 0.341], [0.546, 0.454, 0.659], [0.546, 0.454, 0.841], [0.737, 0.263, 0.093], [0.737, 0.263, 0.407], [0.829, 0.171, 0.750]], "e_form_raw_ev_per_atom": -1.3896, "magnetic_moment_mub_per_fu": 0.00, "spacegroup": "Cmcm", "dos_ef_per_ev_atom": 0.367, "final_energy_ev_per_cell": -113.1}